1.
DFT (PBE-GGA) results for crystalline CePr2Tl at its relaxed geometry.

* space group: P4/mmm, No. 123
* magnetic moment: 0.93 Bohr magnetons per cell
* density of states at the Fermi level: 8.82 states/eV per cell

Lattice parameters (Å, degrees): 5.0467 5.0467 4.8119 90.00 90.00 90.00
Last column: nearest neighbours and their distance in Å.
Fractional positions:
Ce: 0.0000 0.0000 0.0000  8 Pr 3.49, 4 Tl 3.57
Pr: 0.0000 0.5000 0.5000  4 Tl 3.49, 4 Ce 3.49, 4 Pr 3.57
Pr: 0.5000 0.0000 0.5000  4 Tl 3.49, 4 Ce 3.49, 4 Pr 3.57
Tl: 0.5000 0.5000 0.0000  8 Pr 3.49, 4 Ce 3.57

***

2.
DFT (PBE-GGA) results for crystalline CePr2Tl at its relaxed geometry.

* space group: P4/mmm, No. 123
* magnetic moment: 0.38 Bohr magnetons per cell
* density of states at the Fermi level: 5.40 states/eV per cell

Lattice parameters (Å, degrees): 3.7001 3.7001 9.1889 90.00 90.00 90.00
Last column: nearest neighbours and their distance in Å.
Fractional positions:
Ce: 0.0000 0.0000 0.0000  8 Pr 3.55, 4 Ce 3.70
Pr: 0.5000 0.5000 0.2617  4 Tl 3.41, 4 Ce 3.55, 4 Pr 3.70
Pr: 0.5000 0.5000 0.7383  4 Tl 3.41, 4 Ce 3.55, 4 Pr 3.70
Tl: 0.0000 0.0000 0.5000  8 Pr 3.41, 4 Tl 3.70

***

Computed relative energies in units of meV per atom: 1 0; 2 28

***

1.
DFT (PBE-GGA) results for crystalline CePrTl4 at its relaxed geometry.

* space group: F-43m, No. 216
* magnetic moment: 1.62 Bohr magnetons per cell
* density of states at the Fermi level: 10.34 states/eV per cell

Lattice parameters (Å, degrees): 6.2813 6.2813 6.2813 60.00 60.00 60.00
Last column: nearest neighbours and their distance in Å.
Fractional positions:
Ce: 0.0000 0.0000 0.0000  12 Tl 3.68, 4 Pr 3.85
Pr: 0.2500 0.2500 0.2500  12 Tl 3.68, 4 Ce 3.85
Tl: 0.1248 0.6251 0.6251  6 Tl 3.14
Tl: 0.6251 0.1248 0.6251  6 Tl 3.14
Tl: 0.6251 0.6251 0.1248  6 Tl 3.14
Tl: 0.6251 0.6251 0.6251  6 Tl 3.14

***

2.
DFT (PBE-GGA) results for crystalline CePrTl4 at its relaxed geometry.

* space group: Cmmm, No. 65
* magnetic moment: 1.48 Bohr magnetons per cell
* density of states at the Fermi level: 10.20 states/eV per cell

Lattice parameters (Å, degrees): 3.7733 3.7733 12.3877 90.00 90.00 90.94
Last column: nearest neighbours and their distance in Å.
Fractional positions:
Ce: 0.0000 0.0000 0.0000  8 Tl 3.40-3.44, 4 Ce 3.77
Pr: 0.5000 0.5000 0.5000  8 Tl 3.42-3.45, 4 Pr 3.77
Tl: 0.0000 0.0000 0.3251  4 Tl 3.25-3.29, 4 Pr 3.42-3.45
Tl: 0.0000 0.0000 0.6749  4 Tl 3.25-3.29, 4 Pr 3.42-3.45
Tl: 0.5000 0.5000 0.1725  4 Tl 3.25-3.29, 4 Ce 3.40-3.44
Tl: 0.5000 0.5000 0.8275  4 Tl 3.25-3.29, 4 Ce 3.40-3.44

***

Computed relative energies in units of meV per atom: 1 40; 2 0